# 1
! Mn2P GGA-PBE relaxed; values from VASP
! Formation energy, eV per atom: -0.17
! DOS at the Fermi energy, states/eV/cell: 2.8
&SYSTEM
  ibrav = 0, nat = 3, ntyp = 2
/
ATOMIC_SPECIES
P 30.97 P.upf
Mn 54.94 Mn.upf
CELL_PARAMETERS angstrom
-1.968 -0.116 3.590
-1.740 -3.606 0.862
3.609 1.729 -0.875
ATOMIC_POSITIONS crystal
P 0.000 0.000 0.000
Mn 0.667 0.667 0.000
Mn 0.333 0.333 0.000

=====

# 2
! CeNd2Ru3 GGA-PBE relaxed; values from VASP
! Formation energy, eV per atom: -0.19
! DOS at the Fermi energy, states/eV/cell: 7.2
&SYSTEM
  ibrav = 0, nat = 12, ntyp = 3
/
ATOMIC_SPECIES
Ru 101.07 Ru.upf
Nd 144.24 Nd.upf
Ce 140.12 Ce.upf
CELL_PARAMETERS angstrom
-0.551 0.277 -4.918
-2.914 -6.717 -2.549
-6.520 2.498 0.866
ATOMIC_POSITIONS crystal
Ru 0.174 0.652 0.227
Ru 0.826 0.348 0.773
Ru 0.500 0.000 0.765
Ru 0.174 0.652 0.773
Ru 0.826 0.348 0.227
Ru 0.500 0.000 0.235
Nd 0.666 0.669 0.500
Nd 0.334 0.331 0.500
Nd 0.000 0.000 0.000
Nd 0.000 0.000 0.500
Ce 0.667 0.667 0.000
Ce 0.333 0.333 0.000